No. 1
Cd2Ga2Pd | Alexandria via LeMat-Bulk | PBE-GGA | optimized geometry; formation energy from the elements = -0.110 eV/atom; total magnetization = 0.0 μB/f.u.; V = 193.69 Å³/cell; VASP energy = -27.25 eV/cell; E above lowest polymorph = 0 meV per atom
1.0
-3.0913 4.6124 3.6718
-1.2658 -4.5685 4.6732
3.7809 0.9665 1.9690
Ga Pd Cd
4 2 4
Direct
0.3628 0.8628 0.0000
0.8628 0.6372 0.0000
0.6372 0.1372 0.0000
0.1372 0.3628 0.0000
0.0000 0.0000 0.0000
0.5000 0.5000 0.0000
0.1742 0.6742 0.5000
0.6742 0.8258 0.5000
0.8258 0.3258 0.5000
0.3258 0.1742 0.5000


No. 2
DyRhAu | Alexandria via LeMat-Bulk | PBE-GGA | optimized geometry; formation energy from the elements = -0.541 eV/atom; total magnetization = 0.0 μB/f.u.; V = 131.09 Å³/cell; VASP energy = -33.71 eV/cell; E above lowest polymorph = 146 meV per atom
1.0
-3.0128 1.7569 -0.9029
0.8757 -0.2880 -3.4827
-3.8955 -9.5151 1.6706
Au Dy Rh
2 2 2
Direct
0.0660 0.0660 0.1319
0.9340 0.9340 0.8681
0.6481 0.6481 0.2962
0.3519 0.3519 0.7038
0.7897 0.7897 0.5793
0.2103 0.2103 0.4207


No. 3
TaSN | Alexandria via LeMat-Bulk | PBE-GGA | optimized geometry; total magnetization = 0.0 μB/f.u.; V = 164.95 Å³/cell; VASP energy = -107.30 eV/cell; formation energy from raw total energies = -19.38 kcal/mol of atoms; E above lowest polymorph = 105 meV per atom
1.0
-1.8779 5.1924 -1.0328
-1.9546 0.2944 5.0340
4.4290 2.0951 2.4799
Ta S N
4 4 4
Direct
0.5197 0.6512 0.7218
0.0197 0.3488 0.7782
0.4803 0.3488 0.2782
0.9803 0.6512 0.2218
0.8792 0.9020 0.7988
0.3792 0.0980 0.7012
0.1208 0.0980 0.2012
0.6208 0.9020 0.2988
0.2634 0.5575 0.9959
0.7634 0.4425 0.5041
0.7366 0.4425 0.0041
0.2366 0.5575 0.4959


No. 4
Mg2RuPt | Alexandria via LeMat-Bulk | PBE-GGA | optimized geometry; formation energy from the elements = -0.222 eV/atom; total magnetization = 0.0 μB/f.u.; V = 63.39 Å³/cell; VASP energy = -19.39 eV/cell
1.0
-1.0198 -4.0317 -0.9612
1.2276 -0.8652 2.3266
-4.3257 0.3244 3.2286
Mg Pt Ru
2 1 1
Direct
0.0000 0.0079 0.9972
0.0000 0.4921 0.5028
0.5000 0.2500 0.2500
0.5000 0.7500 0.7500


No. 5
AcHg4Pd | Alexandria via LeMat-Bulk | PBE-GGA | optimized geometry; formation energy from the elements = -0.359 eV/atom; total magnetization = 0.0 μB/f.u.; V = 313.37 Å³/cell; VASP energy = -25.32 eV/cell; E above lowest polymorph = 0 meV per atom
1.0
-1.8704 2.3890 -4.1276
5.0402 -2.8049 -3.9074
-4.2096 -8.1106 0.3921
Ac Hg Pd
2 8 2
Direct
0.8397 0.9115 0.6793
0.1603 0.4115 0.3207
0.9654 0.3269 0.9309
0.0346 0.8269 0.0691
0.4657 0.0424 0.9315
0.5343 0.5424 0.0685
0.7910 0.3851 0.5820
0.2090 0.8851 0.4180
0.6371 0.0796 0.2742
0.3629 0.5796 0.7258
0.6849 0.6878 0.3699
0.3151 0.1878 0.6301


No. 6
TbBeSi | Alexandria via LeMat-Bulk | PBE-GGA | optimized geometry; total magnetization = 0.0 μB/f.u.; V = 53.03 Å³/cell; VASP energy = -15.74 eV/cell; formation energy from raw total energies = -15.10 kcal/mol of atoms
1.0
4.0611 0.0000 0.0000
0.0000 3.8831 0.0000
0.0000 -1.9416 3.3629
Be Si Tb
1 1 1
Direct
0.1667 0.6667 0.3333
0.1666 0.0000 0.0000
0.6667 0.3333 0.6667


No. 7
Nd2Be4Pt3Au | Alexandria via LeMat-Bulk | PBE-GGA | optimized geometry; formation energy from the elements = -0.732 eV/atom; total magnetization = 0.0 μB/f.u.; V = 164.43 Å³/cell; VASP energy = -53.16 eV/cell
1.0
-0.1908 -4.1394 0.2565
4.1465 -0.1957 -0.0723
0.1933 0.5810 9.5198
Nd Be Pt Au
2 4 3 1
Direct
0.5000 0.0000 0.2449
0.0000 0.5000 0.7551
0.5000 0.5000 0.0000
0.0000 0.0000 0.0000
0.5000 0.0000 0.6271
0.0000 0.5000 0.3729
0.0000 0.0000 0.5000
0.5000 0.0000 0.8814
0.0000 0.5000 0.1186
0.5000 0.5000 0.5000


No. 8
PmSnRh3 | Alexandria via LeMat-Bulk | PBE-GGA | optimized geometry; formation energy from the elements = -0.502 eV/atom; total magnetization = 0.0 μB/f.u.; V = 193.47 Å³/cell; VASP energy = -66.63 eV/cell
1.0
-6.3848 -1.2607 0.7542
0.4234 -3.8154 -5.3092
5.0190 -1.3816 3.9781
Pm Sn Rh
2 2 6
Direct
0.9876 0.7376 0.7500
0.0124 0.2624 0.2500
0.5000 0.5000 0.0000
0.5000 0.0000 0.5000
0.5000 0.3016 0.3016
0.0000 0.6984 0.1984
0.5000 0.6984 0.6984
0.0000 0.3016 0.8016
0.7048 0.9548 0.2500
0.2952 0.0452 0.7500


No. 9
SrCoW2C | Alexandria via LeMat-Bulk | PBE-GGA | optimized geometry; formation energy from the elements = 4.584 eV/atom; total magnetization = 0.0 μB/f.u.; V = 103.51 Å³/cell; VASP energy = -21.00 eV/cell
1.0
-2.5056 2.8197 3.1339
-2.2455 -3.4356 1.2959
3.3505 -0.8806 3.4711
Sr C Co W
1 1 1 2
Direct
0.0000 0.0000 0.0000
0.5000 0.5000 0.5000
0.0000 0.5000 0.0000
0.0000 0.0000 0.5000
0.5000 0.0000 0.0000


No. 10
CoRe2As | Alexandria via LeMat-Bulk | PBE-GGA | optimized geometry; formation energy from the elements = 0.264 eV/atom; total magnetization = 1.1 μB/f.u.; V = 56.84 Å³/cell; VASP energy = -35.59 eV/cell
1.0
2.8665 0.0000 0.0000
0.0000 3.8193 0.0000
0.0000 0.0000 5.1916
As Co Re
1 1 2
Direct
0.0000 0.0000 0.5260
0.5000 0.5000 0.7317
0.0000 0.0000 0.0104
0.5000 0.5000 0.2319


No. 11
TePt3N | Alexandria via LeMat-Bulk | PBE-GGA | optimized geometry; total magnetization = 2.3 μB/f.u.; V = 125.69 Å³/cell; VASP energy = -20.07 eV/cell; formation energy from raw total energies = 43.91 kcal/mol of atoms; E above lowest polymorph = 1277 meV per atom
1.0
-2.1882 -2.6219 3.6645
4.2068 0.2709 2.7058
-1.6144 4.2595 2.0836
Te Pt N
1 3 1
Direct
0.0000 0.0000 0.0000
0.0000 0.5000 0.0000
0.0000 0.0000 0.5000
0.5000 0.0000 0.0000
0.5000 0.5000 0.5000